# K2Rb2CoF6

A geometry-optimized K2Rb2CoF6 structure (PBE with a Hubbard U, Alexandria via LeMat-Bulk).

Computed properties:
Its total energy is -48.106 eV/cell. The calculation puts the total magnetic moment at 3.0 μB/f.u. For the calculated density, the calculation gives 3.12 g cm⁻³.

Unit cell a=6.4688 b=6.4688 c=6.3224 alpha=100.16 beta=100.16 gamma=115.79
Positions (direct):
K 0.1694 0.8306 0.0000
K 0.8306 0.1694 0.0000
Rb 0.3457 0.6543 0.5000
Rb 0.6543 0.3457 0.5000
Co 0.0000 0.0000 0.5000
F 0.0514 0.3319 0.7061
F 0.1742 0.1742 0.2901
F 0.3319 0.0514 0.7061
F 0.6681 0.9486 0.2939
F 0.8258 0.8258 0.7099
F 0.9486 0.6681 0.2939